No. 1
{
  "formula": "Sm3DyTm2Te6",
  "functional": "PBE",
  "state": "relaxed",
  "e_form_raw_ev_per_atom": -1.299,
  "dos_at_fermi_per_ev_fu": 6.086,
  "lattice": [[4.3372, 0.0000, 0.0000], [0.0000, 8.8557, 0.2026], [-2.1686, -2.6700, 9.2314]],
  "species": ["Sm", "Sm", "Sm", "Dy", "Tm", "Tm", "Te", "Te", "Te", "Te", "Te", "Te"],
  "fractional_positions": [[0.5000, 0.5000, 0.0000], [0.8357, 0.1683, 0.6714], [0.1643, 0.8317, 0.3286], [0.5000, 0.0000, 0.0000], [0.8345, 0.6697, 0.6691], [0.1655, 0.3303, 0.3309], [0.3339, 0.9096, 0.6678], [0.6701, 0.5753, 0.3402], [0.6661, 0.0904, 0.3322], [0.0035, 0.2466, 0.0070], [0.9965, 0.7534, 0.9930], [0.3299, 0.4247, 0.6598]]
}

No. 2
{
  "formula": "NaTh3As4",
  "functional": "PBE",
  "state": "relaxed",
  "formation_enthalpy_0k_ev_per_atom": -1.171,
  "dos_at_fermi_per_ev_fu": 2.636,
  "lattice": [[-4.2824, -0.0297, 0.0047], [0.0355, -4.1626, 6.0837], [-0.0472, 7.1109, 1.9423]],
  "species": ["Na", "As", "As", "As", "As", "Th", "Th", "Th"],
  "fractional_positions": [[0.5000, 0.0000, 0.0000], [0.0000, 0.2588, 0.2588], [0.5000, 0.7495, 0.2505], [0.0000, 0.7412, 0.7412], [0.5000, 0.2505, 0.7495], [0.0000, 0.0000, 0.5000], [0.5000, 0.5000, 0.5000], [0.0000, 0.5000, 0.0000]]
}

No. 3
{
  "formula": "Sb2PbS5",
  "functional": "PBE",
  "state": "relaxed",
  "e_form_raw_ev_per_atom": -0.130,
  "lattice": [[5.5634, 0.0000, 0.0000], [-2.7817, 7.3465, 0.0000], [0.0000, 0.0000, 12.3111]],
  "species": ["Sb", "Sb", "Sb", "Sb", "Pb", "Pb", "S", "S", "S", "S", "S", "S", "S", "S", "S", "S"],
  "fractional_positions": [[0.8288, 0.6577, 0.4311], [0.8288, 0.6577, 0.0689], [0.1712, 0.3423, 0.5689], [0.1712, 0.3423, 0.9311], [0.8259, 0.6518, 0.7500], [0.1741, 0.3482, 0.2500], [0.9687, 0.9375, 0.9222], [0.9687, 0.9375, 0.5778], [0.3027, 0.6055, 0.4313], [0.3027, 0.6055, 0.0687], [0.7240, 0.4481, 0.2500], [0.2760, 0.5519, 0.7500], [0.6973, 0.3945, 0.5687], [0.6973, 0.3945, 0.9313], [0.0313, 0.0625, 0.0778], [0.0313, 0.0625, 0.4222]]
}

No. 4
{
  "formula": "Rb3TbO3",
  "functional": "PBE",
  "state": "relaxed",
  "e_form_raw_ev_per_atom": -1.898,
  "dos_at_fermi_per_ev_fu": 0.000,
  "lattice": [[-0.1602, 3.7623, -6.3502], [-6.4387, -0.9903, 3.4740], [1.9732, 5.8011, 4.0674]],
  "species": ["Rb", "Rb", "Rb", "Rb", "Rb", "Rb", "Tb", "Tb", "O", "O", "O", "O", "O", "O"],
  "fractional_positions": [[0.6406, 0.6406, 0.3592], [0.2108, 0.7892, 0.5000], [0.7892, 0.2108, 0.5000], [0.2595, 0.7405, 0.0000], [0.7405, 0.2595, 0.0000], [0.3594, 0.3594, 0.6408], [0.8209, 0.8209, 0.8500], [0.1791, 0.1791, 0.1500], [0.8948, 0.8948, 0.1536], [0.8298, 0.5511, 0.7324], [0.5511, 0.8298, 0.7324], [0.1702, 0.4489, 0.2676], [0.4489, 0.1702, 0.2676], [0.1052, 0.1052, 0.8464]]
}

No. 5
{
  "formula": "Al2Ru3",
  "functional": "PBE",
  "state": "relaxed",
  "formation_enthalpy_0k_ev_per_atom": -0.303,
  "dos_at_fermi_per_ev_fu": 3.828,
  "lattice": [[6.4251, 1.9648, 4.1629], [2.2038, 0.8815, 6.6180], [3.9042, -3.1268, 0.0215]],
  "species": ["Al", "Al", "Al", "Al", "Ru", "Ru", "Ru", "Ru", "Ru", "Ru"],
  "fractional_positions": [[0.1534, 0.9529, 0.3469], [0.5468, 0.3469, 0.9529], [0.2971, 0.0966, 0.7032], [0.9031, 0.7032, 0.0966], [0.6982, 0.4979, 0.3022], [0.5017, 0.3022, 0.4979], [0.7521, 0.5518, 0.7483], [0.9478, 0.7483, 0.5518], [0.0999, 0.9001, 0.9001], [0.3499, 0.1501, 0.1501]]
}

No. 6
{
  "formula": "NdSm3Tl4Se8",
  "functional": "PBE",
  "state": "relaxed",
  "e_form_raw_ev_per_atom": -1.383,
  "lattice": [[8.5737, 0.0000, 0.0000], [0.0000, 9.1958, 0.4317], [-4.2869, -4.2852, 6.0641]],
  "species": ["Nd", "Sm", "Sm", "Sm", "Tl", "Tl", "Tl", "Tl", "Se", "Se", "Se", "Se", "Se", "Se", "Se", "Se"],
  "fractional_positions": [[0.0000, 0.5000, 0.0000], [0.5000, 0.5000, 0.0000], [0.5000, 0.5000, 0.5000], [0.0000, 0.5000, 0.5000], [0.5000, 0.0000, 0.0000], [0.5000, 0.0000, 0.5000], [0.0000, 0.0000, 0.0000], [0.0000, 0.0000, 0.5000], [0.2379, 0.7095, 0.9718], [0.2379, 0.7095, 0.4758], [0.2639, 0.2918, 0.5277], [0.7339, 0.7095, 0.9718], [0.2661, 0.2905, 0.0282], [0.7361, 0.7082, 0.4723], [0.7621, 0.2905, 0.5242], [0.7621, 0.2905, 0.0282]]
}

No. 7
{
  "formula": "NdEr2F",
  "functional": "PBE",
  "state": "relaxed",
  "e_form_raw_ev_per_atom": -0.870,
  "dos_at_fermi_per_ev_fu": 5.024,
  "lattice": [[-0.9709, 2.8147, 2.0141], [-3.4815, 0.6693, 0.5944], [-1.2120, -4.2258, 8.5291]],
  "species": ["F", "Nd", "Er", "Er"],
  "fractional_positions": [[0.5000, 0.5000, 0.5000], [0.0000, 0.0000, 0.0000], [0.1190, 0.1190, 0.6431], [0.8810, 0.8810, 0.3569]]
}

No. 8
{
  "formula": "LiEuSb",
  "functional": "PBE",
  "state": "relaxed",
  "e_form_raw_ev_per_atom": -0.948,
  "dos_at_fermi_per_ev_fu": 0.189,
  "lattice": [[4.7811, 0.0000, 0.0000], [0.0000, 7.8334, 0.0000], [0.0000, 0.0000, 8.3586]],
  "species": ["Eu", "Eu", "Eu", "Eu", "Sb", "Sb", "Sb", "Sb", "Li", "Li", "Li", "Li"],
  "fractional_positions": [[0.7500, 0.9962, 0.7099], [0.2500, 0.0038, 0.2901], [0.7500, 0.4962, 0.7901], [0.2500, 0.5038, 0.2099], [0.2500, 0.7750, 0.9068], [0.7500, 0.2250, 0.0932], [0.2500, 0.2750, 0.5932], [0.7500, 0.7250, 0.4068], [0.7500, 0.8370, 0.0770], [0.2500, 0.1630, 0.9230], [0.7500, 0.3370, 0.4230], [0.2500, 0.6630, 0.5770]]
}